(1)
The following is a GGA-PBE calculation of TbOs2Pb2 after structural relaxation, from the Open Quantum Materials Database.

The structure belongs to space group I4/mmm (No. 139); the cell edges are 4.4390, 4.4390 and 11.5589 Å and the angles 90.00°, 90.00° and 90.00°. The asymmetric unit holds Tb at (0.0000, 0.0000, 0.0000), Os at (0.0000, 0.5000, 0.2500) and Pb at (0.0000, 0.0000, 0.3776).

The total energy comes out at -6.270 eV/atom.

=====

(2)
The following is a GGA-PBE calculation of CsNaCoTc after structural relaxation, from the Open Quantum Materials Database.

The structure belongs to space group F-43m (No. 216); the cell edges are 7.1662, 7.1662 and 7.1662 Å and the angles 90.00°, 90.00° and 90.00°. The asymmetric unit holds Cs at (0.0000, 0.0000, 0.0000), Na at (0.2500, 0.2500, 0.2500), Co at (0.2500, 0.2500, 0.7500) and Tc at (0.0000, 0.0000, 0.5000).

The value obtained for the energy above the lowest structure with this stoichiometry is 12.2 meV/atom.

=====

(3)
The following is a GGA-PBE calculation of BaTcGe after structural relaxation, from the Open Quantum Materials Database.

The structure belongs to space group F-43m (No. 216); the cell edges are 6.6942, 6.6942 and 6.6942 Å and the angles 90.00°, 90.00° and 90.00°. The asymmetric unit holds Ba at (0.0000, 0.0000, 0.0000), Tc at (0.2500, 0.2500, 0.2500) and Ge at (0.0000, 0.0000, 0.5000).

The value obtained for the energy above the lowest structure with this stoichiometry is 0.0 meV/atom.

=====

(4)
The following is a GGA-PBE calculation of LaYHgH2 after structural relaxation, from the Open Quantum Materials Database.

The structure belongs to space group I4mm (No. 107); the cell edges are 3.8490, 3.8490 and 12.7032 Å and the angles 90.00°, 90.00° and 90.00°. The asymmetric unit holds La at (0.0000, 0.0000, 0.0000), Y at (0.0000, 0.0000, 0.7039), Hg at (0.0000, 0.0000, 0.3386) and H at (0.0000, 0.5000, 0.1115).

The total energy comes out at -4.298 eV/atom.

=====

(5)
The following is a GGA-PBE calculation of PaPb after structural relaxation, from the Open Quantum Materials Database.

The structure belongs to space group P-6m2 (No. 187); the cell edges are 3.3154, 3.3154 and 5.6434 Å and the angles 90.00°, 90.00° and 120.00°. The asymmetric unit holds Pa at (0.0000, 0.0000, 0.0000) and Pb at (0.6667, 0.3333, 0.5000).

The value obtained for the energy above the lowest structure with this stoichiometry is 0.0 meV/atom.

=====

(6)
The following is a GGA-PBE calculation of HoTmGa2 after structural relaxation, from the Open Quantum Materials Database.

The structure belongs to space group Amm2 (No. 38); the cell edges are 5.0133, 6.3389 and 11.5699 Å and the angles 90.00°, 90.00° and 90.00°. The asymmetric unit holds Ho at (0.0000, 0.0000, 0.0000), Ho at (0.5000, 0.0000, 0.3815), Tm at (0.5000, 0.2397, 0.6345), Ga at (0.0000, 0.0000, 0.5492), Ga at (0.0000, 0.2175, 0.2678) and Ga at (0.5000, 0.0000, 0.8628).

The total energy comes out at -4.128 eV/atom.

=====

(7)
The following is a GGA-PBE calculation of Y4InNiC2 after structural relaxation, from the Open Quantum Materials Database.

The structure belongs to space group P-6m2 (No. 187); the cell edges are 3.6270, 3.6270 and 14.8371 Å and the angles 90.00°, 90.00° and 120.00°. The asymmetric unit holds Y at (0.0000, 0.0000, 0.1334), Y at (0.3333, 0.6667, 0.3159), In at (0.0000, 0.0000, 0.5000), Ni at (0.3333, 0.6667, 0.0000) and C at (0.6667, 0.3333, 0.2271).

The total energy comes out at -6.863 eV/atom.

=====

(8)
The following is a GGA-PBE calculation of GdZnAsO after structural relaxation, from the Open Quantum Materials Database.

The structure belongs to space group Pmc2_1 (No. 26); the cell edges are 4.9752, 4.1573 and 6.7746 Å and the angles 90.00°, 90.00° and 90.00°. The asymmetric unit holds Gd at (0.0000, 0.2148, 0.0000), Zn at (0.5000, 0.3151, 0.3563), As at (0.5000, 0.1879, 0.6940) and O at (0.0000, 0.2972, 0.3390).

The total energy comes out at -5.458 eV/atom.

=====

(9)
The following is a GGA-PBE calculation of Nb2CoSb after structural relaxation, from the Open Quantum Materials Database.

The structure belongs to space group F-43m (No. 216); the cell edges are 6.4637, 6.4637 and 6.4637 Å and the angles 90.00°, 90.00° and 90.00°. The asymmetric unit holds Nb at (0.0000, 0.0000, 0.0000), Nb at (0.2500, 0.2500, 0.2500), Co at (0.2500, 0.2500, 0.7500) and Sb at (0.0000, 0.0000, 0.5000).

The total energy comes out at -7.683 eV/atom.

=====

(10)
The following is a GGA-PBE calculation of SmGdPd2 after structural relaxation, from the Open Quantum Materials Database.

The structure belongs to space group Amm2 (No. 38); the cell edges are 4.5803, 3.8082 and 10.7182 Å and the angles 90.00°, 90.00° and 90.00°. The asymmetric unit holds Sm at (0.0000, 0.0000, 0.0000), Gd at (0.5000, 0.0000, 0.7267), Pd at (0.0000, 0.0000, 0.2767) and Pd at (0.5000, 0.0000, 0.4498).

The formation enthalpy at 0 K comes out at -0.880 eV per atom.

=====

(11)
The following is a GGA-PBE calculation of Hg2Pb2O5 after structural relaxation, from the Open Quantum Materials Database.

The structure belongs to space group P4/mmm (No. 123); the cell edges are 4.2088, 4.2088 and 8.3357 Å and the angles 90.00°, 90.00° and 90.00°. The asymmetric unit holds Hg at (0.0000, 0.0000, 0.2242), Pb at (0.5000, 0.5000, 0.0000), Pb at (0.5000, 0.5000, 0.5000), O at (0.0000, 0.0000, 0.5000) and O at (0.0000, 0.5000, 0.1709).

The value obtained for the energy above the lowest structure with this stoichiometry is 144.1 meV/atom.

=====

(12)
The following is a GGA-PBE calculation of PtI2 after structural relaxation, from the Open Quantum Materials Database.

The structure belongs to space group Fd-3m (No. 227, origin choice 2); the cell edges are 12.1255, 12.1255 and 12.1255 Å and the angles 90.00°, 90.00° and 90.00°. The asymmetric unit holds Pt at (0.1250, 0.1250, 0.1250) and I at (0.0000, 0.0000, 0.0000).

The total energy comes out at -2.856 eV/atom.